a.
Below is crystalline LaCePt at its relaxed geometry, with properties calculated at the GGA-PBE level.

Cell and atoms, written as POSCAR:
```
LaCePt
1.0
-0.935 3.619 -0.288
0.189 -0.248 -3.736
-4.828 -3.043 1.839
Ce Pt La
1 1 1
Direct
0.311 0.311 0.623
0.680 0.680 0.360
0.009 0.009 0.018
```

---

b.
Below is crystalline LaCePt at its relaxed geometry, with properties calculated at the GGA-PBE level.

Cell and atoms, written as POSCAR:
```
LaCePt
1.0
4.045 0.000 0.000
0.000 4.659 0.000
0.000 -2.329 4.035
Ce Pt La
1 1 1
Direct
0.309 0.333 0.667
0.021 0.000 0.000
0.670 0.667 0.333
```

---

c.
Below is crystalline LaCePt at its relaxed geometry, with properties calculated at the GGA-PBE level.

Cell and atoms, written as POSCAR:
```
LaCePt
1.0
5.021 0.000 0.000
2.510 4.348 0.000
2.510 1.449 4.100
Ce Pt La
1 1 1
Direct
0.500 0.500 0.500
0.250 0.250 0.250
0.000 0.000 0.000
```

---

The computed energies, referenced to the most stable structure and given in meV per atom, are a 0; b 51; c 63.

---

a.
Below is crystalline LaCe3Pt4 at its relaxed geometry, with properties calculated at the GGA-PBE level.

Cell and atoms, written as POSCAR:
```
LaCe3Pt4
1.0
3.826 0.000 0.000
0.000 6.790 -0.512
-1.913 -2.807 8.051
La Ce Pt
1 3 4
Direct
0.500 0.000 0.000
0.000 0.500 0.000
0.205 0.205 0.409
0.795 0.795 0.591
0.369 0.575 0.738
0.631 0.425 0.262
0.631 0.837 0.262
0.369 0.163 0.738
```

---

b.
Below is crystalline LaCe3Pt4 at its relaxed geometry, with properties calculated at the GGA-PBE level.

Cell and atoms, written as POSCAR:
```
LaCe3Pt4
1.0
7.218 0.064 0.000
-2.470 6.788 0.000
0.000 0.000 8.328
Pt Ce La
8 6 2
Direct
0.005 0.254 0.620
0.500 0.259 0.870
0.505 0.254 0.380
0.000 0.259 0.130
0.000 0.741 0.870
0.495 0.746 0.620
0.500 0.741 0.130
0.995 0.746 0.380
0.750 0.000 0.376
0.250 0.000 0.624
0.750 0.500 0.624
0.750 0.500 0.126
0.250 0.500 0.376
0.250 0.500 0.874
0.750 0.000 0.874
0.250 0.000 0.126
```

---

The computed energies, referenced to the most stable structure and given in meV per atom, are a 180; b 0.

---

a.
Below is crystalline LaCePtRh at its relaxed geometry, with properties calculated at the GGA-PBE level.

Cell and atoms, written as POSCAR:
```
LaCePtRh
1.0
-1.119 -1.419 3.490
2.490 -3.416 -0.591
4.874 3.424 0.742
La Ce Pt Rh
1 1 1 1
Direct
0.143 0.000 0.286
0.869 0.500 0.737
0.588 0.500 0.175
0.401 0.000 0.802
```

---

b.
Below is crystalline LaCePtRh at its relaxed geometry, with properties calculated at the GGA-PBE level.

Cell and atoms, written as POSCAR:
```
LaCePtRh
1.0
-1.458 -1.701 -4.540
3.053 -3.032 -2.667
-1.187 -4.883 -0.612
Rh Ce Pt La
1 1 1 1
Direct
0.250 0.250 0.250
0.000 0.000 0.000
0.750 0.750 0.750
0.500 0.500 0.500
```

---

The computed energies, referenced to the most stable structure and given in meV per atom, are a 0; b 121.

---

a.
Below is crystalline LaCePu at its relaxed geometry, with properties calculated at the GGA-PBE level.

Cell and atoms, written as POSCAR:
```
LaCePu
1.0
-0.753 3.383 0.012
-2.358 -0.534 2.483
6.640 -0.312 3.820
Pu Ce La
1 1 1
Direct
0.014 0.014 0.027
0.654 0.654 0.308
0.332 0.332 0.664
```

---

b.
Below is crystalline LaCePu at its relaxed geometry, with properties calculated at the GGA-PBE level.

Cell and atoms, written as POSCAR:
```
LaCePu
1.0
-1.446 2.628 2.562
-7.162 2.512 -3.581
10.342 -5.328 14.337
Pu Ce La
2 2 2
Direct
0.583 0.329 0.505
0.417 0.671 0.495
0.525 0.755 0.195
0.475 0.245 0.805
0.170 0.416 0.243
0.830 0.584 0.757
```

---

c.
Below is crystalline LaCePu at its relaxed geometry, with properties calculated at the GGA-PBE level.

Cell and atoms, written as POSCAR:
```
LaCePu
1.0
-1.667 1.593 2.206
-4.673 -0.697 -3.026
1.445 -3.818 3.849
La Ce Pu
1 1 1
Direct
0.167 0.667 0.333
0.166 0.000 0.000
0.667 0.333 0.667
```

---

The computed energies, referenced to the most stable structure and given in meV per atom, are a 0; b 53; c 132.

---

a.
Below is crystalline LaCePu2 at its relaxed geometry, with properties calculated at the GGA-PBE level.

Cell and atoms, written as POSCAR:
```
LaCePu2
1.0
-0.378 4.036 3.720
-4.848 1.143 2.336
-0.855 -1.213 5.298
Pu Ce La
2 1 1
Direct
0.250 0.250 0.250
0.750 0.750 0.750
0.000 0.000 0.000
0.500 0.500 0.500
```

---

b.
Below is crystalline LaCePu2 at its relaxed geometry, with properties calculated at the GGA-PBE level.

Cell and atoms, written as POSCAR:
```
LaCePu2
1.0
4.851 0.000 0.000
0.000 4.859 0.000
0.000 0.000 4.859
La Ce Pu
1 1 2
Direct
0.500 0.500 0.500
0.500 0.000 0.000
0.000 0.000 0.500
0.000 0.500 0.000
```

---

The computed energies, referenced to the most stable structure and given in meV per atom, are a 34; b 0.

---

a.
Below is crystalline La2CePu at its relaxed geometry, with properties calculated at the GGA-PBE level.

Cell and atoms, written as POSCAR:
```
La2CePu
1.0
-3.380 0.795 -0.776
-2.425 0.189 2.597
0.429 11.722 1.985
La Ce Pu
2 1 1
Direct
0.082 0.082 0.753
0.251 0.251 0.248
0.499 0.499 0.502
0.667 0.667 0.998
```

---

b.
Below is crystalline La2CePu at its relaxed geometry, with properties calculated at the GGA-PBE level.

Cell and atoms, written as POSCAR:
```
La2CePu
1.0
3.533 0.000 0.000
0.000 3.533 0.000
0.000 0.000 10.102
La Ce Pu
2 1 1
Direct
0.000 0.000 0.745
0.000 0.000 0.255
0.500 0.500 0.500
0.500 0.500 0.000
```

---

The computed energies, referenced to the most stable structure and given in meV per atom, are a 28; b 0.

---

a.
Below is crystalline LaCe2Rh at its relaxed geometry, with properties calculated at the GGA-PBE level.

Cell and atoms, written as POSCAR:
```
LaCe2Rh
1.0
-2.570 2.530 1.409
-3.773 -0.869 0.001
-1.248 -3.196 8.785
La Ce Rh
1 2 1
Direct
0.500 0.500 0.500
0.061 0.061 0.817
0.272 0.272 0.183
0.666 0.666 0.001
```

---

b.
Below is crystalline LaCe2Rh at its relaxed geometry, with properties calculated at the GGA-PBE level.

Cell and atoms, written as POSCAR:
```
LaCe2Rh
1.0
-0.814 -0.686 -4.597
3.595 -0.008 -3.057
1.467 -5.220 -1.903
Rh Ce La
1 2 1
Direct
0.000 0.000 0.000
0.258 0.258 0.225
0.742 0.742 0.775
0.500 0.500 0.500
```

---

The computed energies, referenced to the most stable structure and given in meV per atom, are a 0; b 96.